Entry 1:
Here is Ti3InFe at its PBEsol-relaxed geometry from Alexandria via LeMat-Bulk. Energies are from meta-GGA SCAN.

Summary:
* ΔE_f: 7.28 eV per formula unit
* space-group type: Pm-3m (221)

a b c (Å): 4.920 4.920 4.920
angles (deg): 90.00 90.00 90.00
Fractional positions:
Ti 0.000 0.000 0.500
Ti 0.000 0.500 0.000
Ti 0.500 0.000 0.000
In 0.000 0.000 0.000
Fe 0.500 0.500 0.500

=====

Entry 2:
Here is Li7Nb8O24 at its PBEsol-relaxed geometry from Alexandria via LeMat-Bulk. Energies are from meta-GGA SCAN.

Summary:
* raw formation energy: -2624 meV per atom
* space-group type: P1 (1)

a b c (Å): 5.189 8.914 9.781
angles (deg): 72.37 89.87 89.78
Fractional positions:
Li 0.000 0.000 0.000
Li 0.000 0.251 0.249
Li 0.007 0.749 0.755
Li 0.489 0.258 0.739
Li 0.496 0.508 0.997
Li 0.498 0.757 0.239
Li 0.499 0.010 0.489
Nb 0.004 0.364 0.920
Nb 0.497 0.117 0.168
Nb 0.499 0.865 0.921
Nb 0.501 0.370 0.413
Nb 0.511 0.619 0.672
Nb 0.987 0.114 0.674
Nb 0.997 0.612 0.171
Nb 0.997 0.862 0.413
O 0.122 0.473 0.068
O 0.133 0.974 0.568
O 0.174 0.168 0.069
O 0.176 0.696 0.584
O 0.194 0.794 0.071
O 0.207 0.274 0.569
O 0.304 0.045 0.824
O 0.313 0.549 0.311
O 0.315 0.419 0.820
O 0.317 0.917 0.317
O 0.370 0.223 0.320
O 0.375 0.719 0.829
O 0.582 0.475 0.571
O 0.627 0.973 0.072
O 0.680 0.669 0.071
O 0.682 0.170 0.567
O 0.688 0.297 0.067
O 0.691 0.800 0.568
O 0.802 0.047 0.320
O 0.803 0.547 0.819
O 0.818 0.415 0.314
O 0.823 0.914 0.821
O 0.866 0.726 0.316
O 0.867 0.224 0.819